Version one
A plane-wave DFT calculation with GGA-PBE was carried out for an optimized crystal structure of TiReMo6.

Values from the calculation:
SG: No. 12

```
TiReMo6
1.0
3.609 -2.631 0.000
3.609 2.631 0.000
-1.793 0.000 7.371
Ti Re Mo
1 1 6
Direct
0.000 0.000 0.000
0.500 0.500 0.500
0.041 0.558 0.204
0.128 0.128 0.415
0.442 0.959 0.796
0.558 0.041 0.204
0.872 0.872 0.585
0.959 0.442 0.796
```

---

Version two
A plane-wave DFT calculation with GGA-PBE was carried out for an optimized crystal structure of TiReMo6.

Values from the calculation:
SG: No. 166

```
TiReMo6
1.0
4.582 2.645 1.773
-4.582 2.645 1.773
0.000 -5.290 1.773
Ti Re Mo
1 1 6
Direct
0.000 0.000 0.000
0.500 0.500 0.500
0.249 0.249 0.743
0.249 0.743 0.249
0.257 0.751 0.751
0.743 0.249 0.249
0.751 0.257 0.751
0.751 0.751 0.257
```

---

Relative energies with respect to the most stable structure, expressed in meV/atom: version one 480; version two 0.